Entry from Alexandria via LeMat-Bulk: crystalline Tb2Nb3Ge4 at its relaxed geometry (PBE).

Output
space-group type: P2_1/c (14)
energy above the most stable polymorph in this dataset: 7 meV per atom
energy of formation from the pure elements: -746 meV/atom

Lattice parameters (Å, degrees): 7.195 7.194 7.064 90.00 109.39 90.00
Sites, in units of the cell vectors:
Tb1 0.187 0.171 0.059
Tb2 0.187 0.329 0.559
Tb3 0.813 0.671 0.441
Tb4 0.813 0.829 0.941
Nb1 0.256 0.674 0.247
Nb2 0.256 0.826 0.747
Nb3 0.500 0.000 0.500
Nb4 0.500 0.500 0.000
Nb5 0.744 0.174 0.253
Nb6 0.744 0.326 0.753
Ge1 0.085 0.538 0.858
Ge2 0.085 0.962 0.358
Ge3 0.492 0.131 0.866
Ge4 0.492 0.369 0.366
Ge5 0.508 0.631 0.634
Ge6 0.508 0.869 0.134
Ge7 0.915 0.038 0.642
Ge8 0.915 0.462 0.142